[1]
Below is a relaxed structure of Hf2CoSb, with properties calculated at the GGA-PBE level.

a = 6.0144 Å, b = 6.0144 Å, c = 6.0144 Å
α = 103.58°, β = 103.58°, γ = 122.02°
Element x y z (fractional)
1 Hf 0.0646 0.6250 0.9396
2 Hf 0.3750 0.3146 0.4396
3 Hf 0.6854 0.1250 0.0604
4 Hf 0.8750 0.9354 0.5604
5 Co 0.0000 0.0000 0.0000
6 Co 0.7500 0.2500 0.5000
7 Sb 0.2500 0.7500 0.5000
8 Sb 0.5000 0.5000 0.0000

Values from the calculation:
calculated volume	20.17	Å³ per atom
E_form (uncorrected)	-0.094	eV per atom
space-group type	No. 122



[2]
Below is a relaxed structure of Hf5CoSb2, with properties calculated at the GGA-PBE level.

a = 7.3104 Å, b = 11.8270 Å, c = 3.9303 Å
α = 90.00°, β = 90.00°, γ = 90.00°
Element x y z (fractional)
1 Hf 0.0000 0.0000 0.0000
2 Hf 0.1454 0.3128 0.0000
3 Hf 0.1771 0.5781 0.5000
4 Hf 0.3229 0.0781 0.5000
5 Hf 0.3546 0.8128 0.0000
6 Hf 0.5000 0.5000 0.0000
7 Hf 0.6454 0.1872 0.0000
8 Hf 0.6771 0.9219 0.5000
9 Hf 0.8229 0.4219 0.5000
10 Hf 0.8546 0.6872 0.0000
11 Co 0.0000 0.5000 0.0000
12 Co 0.5000 0.0000 0.0000
13 Sb 0.0587 0.8232 0.5000
14 Sb 0.4413 0.3232 0.5000
15 Sb 0.5587 0.6768 0.5000
16 Sb 0.9413 0.1768 0.5000

Values from the calculation:
offset from the most stable computed form	0	meV per atom
calculated volume	21.24	Å³ per atom
E_form (uncorrected)	-0.362	eV per atom
space-group type	No. 55



[3]
Below is a relaxed structure of HfCoSb2, with properties calculated at the GGA-PBE level.

a = 9.7683 Å, b = 9.7683 Å, c = 9.7683 Å
α = 19.31°, β = 19.31°, γ = 19.31°
Element x y z (fractional)
1 Hf 0.0000 0.0000 0.0000
2 Co 0.5000 0.5000 0.5000
3 Sb 0.4146 0.4146 0.4146
4 Sb 0.5854 0.5854 0.5854

Values from the calculation:
calculated volume	22.27	Å³ per atom
E_form (uncorrected)	0.251	eV per atom
space-group type	No. 166



[4]
Below is a relaxed structure of Hf5CoSb2, with properties calculated at the GGA-PBE level.

a = 7.0906 Å, b = 7.0906 Å, c = 12.4909 Å
α = 90.00°, β = 90.00°, γ = 139.29°
Element x y z (fractional)
1 Hf 0.1062 0.8938 0.6164
2 Hf 0.1062 0.8938 0.8836
3 Hf 0.2944 0.7056 0.2500
4 Hf 0.3112 0.6888 0.5216
5 Hf 0.3112 0.6888 0.9784
6 Hf 0.6888 0.3112 0.0216
7 Hf 0.6888 0.3112 0.4784
8 Hf 0.7056 0.2944 0.7500
9 Hf 0.8938 0.1062 0.1164
10 Hf 0.8938 0.1062 0.3836
11 Co 0.2437 0.7563 0.7500
12 Co 0.7563 0.2437 0.2500
13 Sb 0.1120 0.8880 0.1191
14 Sb 0.1120 0.8880 0.3809
15 Sb 0.8880 0.1120 0.6191
16 Sb 0.8880 0.1120 0.8809

Values from the calculation:
offset from the most stable computed form	466	meV per atom
calculated volume	25.60	Å³ per atom
E_form (uncorrected)	0.103	eV per atom
space-group type	No. 63



[5]
Below is a relaxed structure of Hf6Co2Sb, with properties calculated at the GGA-PBE level.

a = 7.7750 Å, b = 7.7750 Å, c = 7.7750 Å
α = 114.96°, β = 114.16°, γ = 99.72°
Element x y z (fractional)
1 Hf 0.0404 0.2422 0.7982
2 Hf 0.1882 0.2998 0.4881
3 Hf 0.1882 0.7002 0.8884
4 Hf 0.3289 0.0172 0.6883
5 Hf 0.3289 0.6406 0.3117
6 Hf 0.4439 0.2422 0.2018
7 Hf 0.5561 0.7578 0.7982
8 Hf 0.6711 0.3594 0.6883
9 Hf 0.6711 0.9828 0.3117
10 Hf 0.8118 0.2998 0.1116
11 Hf 0.8118 0.7002 0.5119
12 Hf 0.9596 0.7578 0.2018
13 Co 0.1258 0.6258 0.5000
14 Co 0.3423 0.0000 0.3423
15 Co 0.6577 0.0000 0.6577
16 Co 0.8742 0.3742 0.5000
17 Sb 0.0000 0.0000 0.0000
18 Sb 0.5000 0.5000 0.0000

Values from the calculation:
calculated volume	19.67	Å³ per atom
E_form (uncorrected)	-0.261	eV per atom
space-group type	No. 71



[6]
Below is a relaxed structure of Hf2Co2Sb, with properties calculated at the GGA-PBE level.

a = 7.1189 Å, b = 7.1189 Å, c = 3.2992 Å
α = 90.00°, β = 90.00°, γ = 90.00°
Element x y z (fractional)
1 Hf 0.1639 0.3361 0.0000
2 Hf 0.3361 0.8361 0.0000
3 Hf 0.6639 0.1639 0.0000
4 Hf 0.8361 0.6639 0.0000
5 Co 0.1286 0.6286 0.5000
6 Co 0.3714 0.1286 0.5000
7 Co 0.6286 0.8714 0.5000
8 Co 0.8714 0.3714 0.5000
9 Sb 0.0000 0.0000 0.5000
10 Sb 0.5000 0.5000 0.5000

Values from the calculation:
calculated volume	16.72	Å³ per atom
E_form (uncorrected)	-0.421	eV per atom
space-group type	No. 127



[7]
Below is a relaxed structure of HfCoSb2, with properties calculated at the GGA-PBE level.

a = 4.8341 Å, b = 4.8341 Å, c = 4.8341 Å
α = 60.00°, β = 60.00°, γ = 60.00°
Element x y z (fractional)
1 Hf 0.0000 0.0000 0.0000
2 Co 0.5000 0.5000 0.5000
3 Sb 0.2500 0.2500 0.2500
4 Sb 0.7500 0.7500 0.7500

Values from the calculation:
calculated volume	19.97	Å³ per atom
E_form (uncorrected)	0.147	eV per atom
space-group type	No. 225



[8]
Below is a relaxed structure of Hf4CoSb, with properties calculated at the GGA-PBE level.

a = 7.4269 Å, b = 6.7564 Å, c = 5.6010 Å
α = 90.00°, β = 108.57°, γ = 90.00°
Element x y z (fractional)
1 Hf 0.1419 0.1515 0.1404
2 Hf 0.1419 0.3485 0.6404
3 Hf 0.2528 0.6680 0.2960
4 Hf 0.2528 0.8320 0.7960
5 Hf 0.7472 0.1680 0.2040
6 Hf 0.7472 0.3320 0.7040
7 Hf 0.8581 0.6515 0.3596
8 Hf 0.8581 0.8485 0.8596
9 Co 0.0000 0.0000 0.5000
10 Co 0.0000 0.5000 0.0000
11 Sb 0.5000 0.0000 0.5000
12 Sb 0.5000 0.5000 0.0000

Values from the calculation:
offset from the most stable computed form	254	meV per atom
calculated volume	22.20	Å³ per atom
E_form (uncorrected)	-0.078	eV per atom
space-group type	No. 14



[9]
Below is a relaxed structure of HfCoSb2, with properties calculated at the GGA-PBE level.

a = 9.6540 Å, b = 9.6540 Å, c = 9.6540 Å
α = 153.73°, β = 153.73°, γ = 37.50°
Element x y z (fractional)
1 Hf 0.0000 0.0000 0.0000
2 Hf 0.7500 0.2500 0.5000
3 Co 0.2500 0.7500 0.5000
4 Co 0.5000 0.5000 0.0000
5 Sb 0.1563 0.6250 0.0313
6 Sb 0.3750 0.4063 0.5313
7 Sb 0.5937 0.1250 0.9687
8 Sb 0.8750 0.8437 0.4687

Values from the calculation:
calculated volume	22.01	Å³ per atom
E_form (uncorrected)	0.239	eV per atom
space-group type	No. 122



[10]
Below is a relaxed structure of HfCo2SiSb, with properties calculated at the GGA-PBE level.

a = 4.2506 Å, b = 4.2506 Å, c = 4.9984 Å
α = 90.00°, β = 90.00°, γ = 90.00°
Element x y z (fractional)
1 Hf 0.0000 0.0000 0.0000
2 Co 0.0000 0.5000 0.5000
3 Co 0.5000 0.0000 0.5000
4 Si 0.0000 0.0000 0.5000
5 Sb 0.5000 0.5000 0.0000

Values from the calculation:
calculated volume	18.06	Å³ per atom
E_form (uncorrected)	0.217	eV per atom
space-group type	No. 123



[11]
Below is a relaxed structure of HfCo2SbTe, with properties calculated at the GGA-PBE level.

a = 4.5170 Å, b = 4.5170 Å, c = 5.8518 Å
α = 90.00°, β = 90.00°, γ = 90.00°
Element x y z (fractional)
1 Hf 0.0000 0.0000 0.0000
2 Co 0.0000 0.5000 0.5000
3 Co 0.5000 0.0000 0.5000
4 Sb 0.5000 0.5000 0.0000
5 Te 0.5000 0.5000 0.5000

Values from the calculation:
calculated volume	23.88	Å³ per atom
E_form (uncorrected)	1.033	eV per atom
space-group type	No. 123



[12]
Below is a relaxed structure of HfCoSb2Te, with properties calculated at the GGA-PBE level.

a = 4.8198 Å, b = 4.8198 Å, c = 5.2219 Å
α = 90.00°, β = 90.00°, γ = 90.00°
Element x y z (fractional)
1 Hf 0.0000 0.0000 0.0000
2 Co 0.5000 0.5000 0.5000
3 Sb 0.0000 0.5000 0.5000
4 Sb 0.5000 0.0000 0.5000
5 Te 0.5000 0.5000 0.0000

Values from the calculation:
offset from the most stable computed form	0	meV per atom
calculated volume	24.26	Å³ per atom
E_form (uncorrected)	0.451	eV per atom
space-group type	No. 123



[13]
Below is a relaxed structure of HfCoSb2Te, with properties calculated at the GGA-PBE level.

a = 5.5038 Å, b = 5.5038 Å, c = 5.4616 Å
α = 90.00°, β = 90.00°, γ = 90.00°
Element x y z (fractional)
1 Hf 0.0000 0.0000 0.0000
2 Co 0.5000 0.5000 0.5000
3 Sb 0.0000 0.5000 0.0000
4 Sb 0.5000 0.0000 0.0000
5 Te 0.0000 0.0000 0.5000

Values from the calculation:
offset from the most stable computed form	393	meV per atom
calculated volume	33.09	Å³ per atom
E_form (uncorrected)	0.844	eV per atom
space-group type	No. 123



[14]
Below is a relaxed structure of HfV2CoSb, with properties calculated at the GGA-PBE level.

a = 4.4275 Å, b = 4.4275 Å, c = 4.6104 Å
α = 90.00°, β = 90.00°, γ = 90.00°
Element x y z (fractional)
1 Hf 0.0000 0.0000 0.0000
2 V 0.0000 0.5000 0.5000
3 V 0.5000 0.0000 0.5000
4 Co 0.5000 0.5000 0.5000
5 Sb 0.5000 0.5000 0.0000

Values from the calculation:
calculated volume	18.08	Å³ per atom
E_form (uncorrected)	0.522	eV per atom
space-group type	No. 123



[15]
Below is a relaxed structure of HfVCoSb2, with properties calculated at the GGA-PBE level.

a = 5.3897 Å, b = 5.3897 Å, c = 4.7293 Å
α = 90.00°, β = 90.00°, γ = 90.00°
Element x y z (fractional)
1 Hf 0.0000 0.0000 0.0000
2 V 0.0000 0.0000 0.5000
3 Co 0.5000 0.5000 0.5000
4 Sb 0.0000 0.5000 0.0000
5 Sb 0.5000 0.0000 0.0000

Values from the calculation:
calculated volume	27.48	Å³ per atom
E_form (uncorrected)	1.482	eV per atom
space-group type	No. 123



[16]
Below is a relaxed structure of HfCo2SbW, with properties calculated at the GGA-PBE level.

a = 4.4692 Å, b = 4.4692 Å, c = 5.1444 Å
α = 90.00°, β = 90.00°, γ = 90.00°
Element x y z (fractional)
1 Hf 0.0000 0.0000 0.0000
2 Co 0.0000 0.5000 0.5000
3 Co 0.5000 0.0000 0.5000
4 Sb 0.5000 0.5000 0.0000
5 W 0.0000 0.0000 0.5000

Values from the calculation:
calculated volume	20.55	Å³ per atom
E_form (uncorrected)	1.120	eV per atom
space-group type	No. 123



[17]
Below is a relaxed structure of HfZrCo2Sb2, with properties calculated at the GGA-PBE level.

a = 10.6144 Å, b = 10.6144 Å, c = 10.6144 Å
α = 19.81°, β = 19.81°, γ = 19.81°
Element x y z (fractional)
1 Hf 0.0000 0.0000 0.0000
2 Zr 0.4994 0.4994 0.4994
3 Co 0.3828 0.3828 0.3828
4 Co 0.8842 0.8842 0.8842
5 Sb 0.0957 0.0957 0.0957
6 Sb 0.5962 0.5962 0.5962

Values from the calculation:
calculated volume	20.02	Å³ per atom
E_form (uncorrected)	-0.148	eV per atom
space-group type	No. 160



[18]
Below is a relaxed structure of HfZr2CoSb, with properties calculated at the GGA-PBE level.

a = 5.2926 Å, b = 5.2926 Å, c = 4.5253 Å
α = 90.00°, β = 90.00°, γ = 90.00°
Element x y z (fractional)
1 Hf 0.0000 0.0000 0.0000
2 Zr 0.0000 0.5000 0.5000
3 Zr 0.5000 0.0000 0.5000
4 Co 0.5000 0.5000 0.0000
5 Sb 0.5000 0.5000 0.5000

Values from the calculation:
calculated volume	25.35	Å³ per atom
E_form (uncorrected)	0.815	eV per atom
space-group type	No. 123



[19]
Below is a relaxed structure of HfScCo, with properties calculated at the GGA-PBE level.

a = 5.7516 Å, b = 5.7516 Å, c = 7.2105 Å
α = 122.70°, β = 122.70°, γ = 34.61°
Element x y z (fractional)
1 Hf 0.1666 0.1666 0.0739
2 Hf 0.8334 0.8334 0.9261
3 Sc 0.4124 0.4124 0.6240
4 Sc 0.5876 0.5876 0.3760
5 Co 0.1346 0.1346 0.6897
6 Co 0.8654 0.8654 0.3103

Values from the calculation:
offset from the most stable computed form	0	meV per atom
calculated volume	18.62	Å³ per atom
space-group type	No. 12



[20]
Below is a relaxed structure of Hf3ScCo, with properties calculated at the GGA-PBE level.

a = 6.4098 Å, b = 6.4098 Å, c = 7.0200 Å
α = 120.60°, β = 120.60°, γ = 72.00°
Element x y z (fractional)
1 Hf 0.0041 0.6021 0.2666
2 Hf 0.0759 0.0759 0.2744
3 Hf 0.3979 0.9959 0.7334
4 Hf 0.6021 0.0041 0.2666
5 Hf 0.9241 0.9241 0.7256
6 Hf 0.9959 0.3979 0.7334
7 Sc 0.4631 0.4631 0.6997
8 Sc 0.5369 0.5369 0.3003
9 Co 0.2279 0.2279 0.0838
10 Co 0.7721 0.7721 0.9162

Values from the calculation:
offset from the most stable computed form	0	meV per atom
calculated volume	21.32	Å³ per atom
space-group type	No. 12



[21]
Below is a relaxed structure of Hf2ScCo3, with properties calculated at the GGA-PBE level.

a = 4.4527 Å, b = 4.4527 Å, c = 10.9020 Å
α = 90.00°, β = 90.00°, γ = 120.00°
Element x y z (fractional)
1 Hf 0.0000 0.0000 0.0000
2 Hf 0.0000 0.0000 0.5000
3 Hf 0.3333 0.6667 0.1698
4 Hf 0.6667 0.3333 0.8302
5 Sc 0.3333 0.6667 0.6652
6 Sc 0.6667 0.3333 0.3348
7 Co 0.0000 0.0000 0.2469
8 Co 0.0000 0.0000 0.7531
9 Co 0.3333 0.6667 0.4174
10 Co 0.3333 0.6667 0.9206
11 Co 0.6667 0.3333 0.0794
12 Co 0.6667 0.3333 0.5826

Values from the calculation:
calculated volume	15.60	Å³ per atom
space-group type	No. 164



[22]
Below is a relaxed structure of HfSc2Co2, with properties calculated at the GGA-PBE level.

a = 5.4893 Å, b = 5.4893 Å, c = 5.4893 Å
α = 131.38°, β = 131.38°, γ = 71.22°
Element x y z (fractional)
1 Hf 0.0000 0.0000 0.0000
2 Sc 0.3414 0.3414 0.0000
3 Sc 0.6586 0.6586 0.0000
4 Co 0.2500 0.7500 0.5000
5 Co 0.7500 0.2500 0.5000

Values from the calculation:
offset from the most stable computed form	548	meV per atom
calculated volume	18.24	Å³ per atom
space-group type	No. 139



[23]
Below is a relaxed structure of HfSc2Co, with properties calculated at the GGA-PBE level.

a = 5.7045 Å, b = 5.7045 Å, c = 8.8126 Å
α = 90.00°, β = 90.00°, γ = 146.54°
Element x y z (fractional)
1 Hf 0.0731 0.9269 0.7500
2 Hf 0.9269 0.0731 0.2500
3 Sc 0.3639 0.6361 0.5678
4 Sc 0.3639 0.6361 0.9322
5 Sc 0.6361 0.3639 0.0678
6 Sc 0.6361 0.3639 0.4322
7 Co 0.2513 0.7487 0.2500
8 Co 0.7487 0.2513 0.7500

Values from the calculation:
offset from the most stable computed form	0	meV per atom
calculated volume	19.76	Å³ per atom
space-group type	No. 63



[24]
Below is a relaxed structure of HfSc2Co2, with properties calculated at the GGA-PBE level.

a = 6.4618 Å, b = 6.4618 Å, c = 4.2264 Å
α = 90.00°, β = 90.00°, γ = 90.00°
Element x y z (fractional)
1 Hf 0.0000 0.0000 0.0000
2 Hf 0.5000 0.5000 0.0000
3 Sc 0.1764 0.3236 0.5000
4 Sc 0.3236 0.8236 0.5000
5 Sc 0.6764 0.1764 0.5000
6 Sc 0.8236 0.6764 0.5000
7 Co 0.1215 0.6215 0.0000
8 Co 0.3785 0.1215 0.0000
9 Co 0.6215 0.8785 0.0000
10 Co 0.8785 0.3785 0.0000

Values from the calculation:
offset from the most stable computed form	24	meV per atom
calculated volume	17.65	Å³ per atom
space-group type	No. 127



| no. | VASP energy (eV/cell) |
| --- | --- |
| 1 | -63.024 |
| 2 | -136.032 |
| 3 | -24.300 |
| 4 | -128.584 |
| 5 | -160.804 |
| 6 | -80.692 |
| 7 | -24.717 |
| 8 | -103.024 |
| 9 | -48.693 |
| 10 | -32.625 |
| 11 | -26.267 |
| 12 | -26.191 |
| 13 | -24.228 |
| 14 | -36.809 |
| 15 | -27.012 |
| 16 | -35.638 |
| 17 | -41.845 |
| 18 | -34.203 |
| 19 | -48.451 |
| 20 | -87.199 |
| 21 | -99.956 |
| 22 | -35.512 |
| 23 | -61.099 |
| 24 | -76.271 |